Below is an optimized crystal structure of NdY3Tl2S, with properties calculated at the PBE level.

Output
E_form (uncorrected)	-4.4	eV per formula unit
energy	-37.4	eV/cell

Unit cell a=5.257 b=5.117 c=8.771 alpha=106.96 beta=107.44 gamma=90.00
Element x y z (fractional)
Y  0.827  0.827  0.655
Y  0.000  0.500  0.000
Y  0.173  0.173  0.345
Tl  0.633  0.633  0.266
Tl  0.367  0.367  0.734
Nd  0.500  0.000  0.000
S  0.000  0.000  0.000



Below is an optimized crystal structure of NdTm6S8, with properties calculated at the PBE level.

Output
E_form (uncorrected)	-29.9	eV per formula unit
energy	-94.5	eV/cell

Unit cell a=7.701 b=7.701 c=7.701 alpha=60.00 beta=60.00 gamma=60.00
Element x y z (fractional)
Tm  0.500  0.500  0.000
Tm  0.500  0.000  0.500
Tm  0.000  0.500  0.000
Tm  0.000  0.500  0.500
Tm  0.000  0.000  0.500
Tm  0.500  0.000  0.000
S  0.750  0.750  0.750
S  0.250  0.250  0.250
S  0.260  0.740  0.740
S  0.740  0.260  0.260
S  0.740  0.260  0.740
S  0.740  0.740  0.260
S  0.260  0.260  0.740
S  0.260  0.740  0.260
Nd  0.000  0.000  0.000



Below is an optimized crystal structure of Nd4TmS5, with properties calculated at the PBE level.

Output
E_form (uncorrected)	-19.9	eV per formula unit
energy	-64.1	eV/cell

Unit cell a=4.025 b=4.025 c=14.552 alpha=97.95 beta=97.95 gamma=90.00
Element x y z (fractional)
S  0.500  0.500  0.000
S  0.702  0.702  0.404
S  0.905  0.905  0.810
S  0.298  0.298  0.596
S  0.095  0.095  0.190
Nd  0.804  0.804  0.608
Nd  0.399  0.399  0.798
Nd  0.196  0.196  0.392
Nd  0.601  0.601  0.202
Tm  0.000  0.000  0.000



Below is an optimized crystal structure of NdTm3S6, with properties calculated at the PBE level.

Output
E_form (uncorrected)	-20.9	eV per formula unit
energy	-127.6	eV/cell

Unit cell a=3.951 b=10.989 c=11.252 alpha=71.14 beta=90.00 gamma=90.00
Element x y z (fractional)
Tm  0.250  0.839  0.087
Tm  0.250  0.320  0.501
Tm  0.750  0.161  0.913
Tm  0.250  0.559  0.833
Tm  0.750  0.441  0.167
Tm  0.750  0.680  0.499
S  0.250  0.082  0.093
S  0.250  0.881  0.464
S  0.250  0.197  0.751
S  0.750  0.734  0.728
S  0.750  0.119  0.536
S  0.750  0.803  0.249
S  0.750  0.918  0.907
S  0.250  0.606  0.059
S  0.250  0.522  0.612
S  0.750  0.478  0.388
S  0.750  0.394  0.941
S  0.250  0.266  0.272
Nd  0.250  0.951  0.695
Nd  0.750  0.049  0.305